1.
# SrZr2Re | the Alexandria database | PBE | optimized geometry
data_SrZr2Re
_chemical_formula_sum 'Sr2 Zr4 Re2'
_cell_length_a 8.1499
_cell_length_b 3.3330
_cell_length_c 8.0529
_cell_angle_alpha 90.00
_cell_angle_beta 94.59
_cell_angle_gamma 90.00
_space_group_name_H-M_alt 'C 1 2/m 1'
_space_group_IT_number 12
_space_group_name_Hall '-C 2y'
loop_
_atom_site_label
_atom_site_type_symbol
_atom_site_fract_x
_atom_site_fract_y
_atom_site_fract_z
_atom_site_occupancy
Sr1 Sr 0.0000 0.0000 0.0000 1
Zr1 Zr 0.2267 0.0000 0.6625 1
Re1 Re 0.0000 0.5000 0.5000 1
# total magnetic moment: 0.00 μB per formula unit
# energy above the most stable polymorph in this dataset: 0.213 eV per atom
# crystal system: monoclinic

=====

2.
# Sr2ZrRe | the Alexandria database | PBE | optimized geometry
data_Sr2ZrRe
_chemical_formula_sum 'Sr4 Zr2 Re2'
_cell_length_a 4.2863
_cell_length_b 4.2863
_cell_length_c 11.0011
_cell_angle_alpha 90.00
_cell_angle_beta 90.00
_cell_angle_gamma 90.00
_space_group_name_H-M_alt 'I 4/m m m'
_space_group_IT_number 139
_space_group_name_Hall '-I 4 2'
loop_
_atom_site_label
_atom_site_type_symbol
_atom_site_fract_x
_atom_site_fract_y
_atom_site_fract_z
_atom_site_occupancy
Sr1 Sr 0.0000 0.5000 0.2500 1
Zr1 Zr 0.0000 0.0000 0.0000 1
Re1 Re 0.0000 0.0000 0.5000 1
# total magnetic moment: 0.00 μB per formula unit
# energy above the most stable polymorph in this dataset: 0.576 eV per atom
# crystal system: tetragonal

=====

3.
# Sr2ZrRe | the Alexandria database | PBE | optimized geometry
data_Sr2ZrRe
_chemical_formula_sum 'Sr2 Zr1 Re1'
_cell_length_a 3.5630
_cell_length_b 3.5649
_cell_length_c 9.6992
_cell_angle_alpha 90.00
_cell_angle_beta 90.05
_cell_angle_gamma 90.00
_space_group_name_H-M_alt 'P 1 m 1'
_space_group_IT_number 6
_space_group_name_Hall 'P -2y'
loop_
_atom_site_label
_atom_site_type_symbol
_atom_site_fract_x
_atom_site_fract_y
_atom_site_fract_z
_atom_site_occupancy
Sr1 Sr 0.0000 0.0000 0.0000 1
Sr2 Sr 0.5005 0.5000 0.3783 1
Zr1 Zr 0.5004 0.5000 0.7222 1
Re1 Re 0.0003 0.0000 0.6032 1
# total magnetic moment: 0.00 μB per formula unit
# energy above the most stable polymorph in this dataset: 0.000 eV per atom
# crystal system: monoclinic

=====

4.
# SrZr2Re | the Alexandria database | PBE | optimized geometry
data_SrZr2Re
_chemical_formula_sum 'Sr1 Zr2 Re1'
_cell_length_a 3.6188
_cell_length_b 3.6188
_cell_length_c 7.8325
_cell_angle_alpha 90.00
_cell_angle_beta 90.00
_cell_angle_gamma 90.00
_space_group_name_H-M_alt 'P 4 m m'
_space_group_IT_number 99
_space_group_name_Hall 'P 4 -2'
loop_
_atom_site_label
_atom_site_type_symbol
_atom_site_fract_x
_atom_site_fract_y
_atom_site_fract_z
_atom_site_occupancy
Sr1 Sr 0.0000 0.0000 0.0000 1
Zr1 Zr 0.0000 0.0000 0.5656 1
Zr2 Zr 0.5000 0.5000 0.3588 1
Re1 Re 0.5000 0.5000 0.7096 1
# total magnetic moment: 0.00 μB per formula unit
# energy above the most stable polymorph in this dataset: 0.219 eV per atom
# crystal system: tetragonal

=====

5.
# SrZrRe2 | the Alexandria database | PBE | optimized geometry
data_SrZrRe2
_chemical_formula_sum 'Sr4 Zr4 Re8'
_cell_length_a 4.8856
_cell_length_b 4.8856
_cell_length_c 18.6696
_cell_angle_alpha 90.00
_cell_angle_beta 90.00
_cell_angle_gamma 90.00
_space_group_name_H-M_alt 'I -4 2 d'
_space_group_IT_number 122
_space_group_name_Hall 'I -4 2bw'
loop_
_atom_site_label
_atom_site_type_symbol
_atom_site_fract_x
_atom_site_fract_y
_atom_site_fract_z
_atom_site_occupancy
Sr1 Sr 0.0000 0.0000 0.0000 1
Zr1 Zr 0.0000 0.0000 0.5000 1
Re1 Re 0.0479 0.2500 0.6250 1
# total magnetic moment: 0.00 μB per formula unit
# energy above the most stable polymorph in this dataset: 0.641 eV per atom
# crystal system: tetragonal

=====

6.
# SrZr2Re | the Alexandria database | PBE | optimized geometry
data_SrZr2Re
_chemical_formula_sum 'Sr3 Zr6 Re3'
_cell_length_a 3.4040
_cell_length_b 3.4040
_cell_length_c 30.5874
_cell_angle_alpha 90.00
_cell_angle_beta 90.00
_cell_angle_gamma 120.00
_space_group_name_H-M_alt 'R -3 m'
_space_group_IT_number 166
_space_group_name_Hall '-R 3 2"'
loop_
_atom_site_label
_atom_site_type_symbol
_atom_site_fract_x
_atom_site_fract_y
_atom_site_fract_z
_atom_site_occupancy
Sr1 Sr 0.0000 0.0000 0.0000 1
Zr1 Zr 0.0000 0.0000 0.2291 1
Re1 Re 0.0000 0.0000 0.5000 1
# total magnetic moment: 0.00 μB per formula unit
# energy above the most stable polymorph in this dataset: 0.273 eV per atom
# crystal system: trigonal

=====

7.
# Sr2ZrRe | the Alexandria database | PBE | optimized geometry
data_Sr2ZrRe
_chemical_formula_sum 'Sr2 Zr1 Re1'
_cell_length_a 4.2812
_cell_length_b 4.2812
_cell_length_c 5.5065
_cell_angle_alpha 90.00
_cell_angle_beta 90.00
_cell_angle_gamma 90.00
_space_group_name_H-M_alt 'P 4/m m m'
_space_group_IT_number 123
_space_group_name_Hall '-P 4 2'
loop_
_atom_site_label
_atom_site_type_symbol
_atom_site_fract_x
_atom_site_fract_y
_atom_site_fract_z
_atom_site_occupancy
Sr1 Sr 0.0000 0.5000 0.0000 1
Zr1 Zr 0.0000 0.0000 0.5000 1
Re1 Re 0.5000 0.5000 0.5000 1
# total magnetic moment: 0.00 μB per formula unit
# energy above the most stable polymorph in this dataset: 0.568 eV per atom
# crystal system: tetragonal

=====

8.
# SrZr2Re | the Alexandria database | PBE | optimized geometry
data_SrZr2Re
_chemical_formula_sum 'Sr2 Zr4 Re2'
_cell_length_a 3.4684
_cell_length_b 5.1679
_cell_length_c 10.4565
_cell_angle_alpha 90.00
_cell_angle_beta 90.00
_cell_angle_gamma 90.00
_space_group_name_H-M_alt 'C m m 2'
_space_group_IT_number 35
_space_group_name_Hall 'C 2 -2'
loop_
_atom_site_label
_atom_site_type_symbol
_atom_site_fract_x
_atom_site_fract_y
_atom_site_fract_z
_atom_site_occupancy
Sr1 Sr 0.0000 0.0000 0.0000 1
Zr1 Zr 0.0000 0.0000 0.5671 1
Zr2 Zr 0.0000 0.5000 0.3152 1
Re1 Re 0.0000 0.5000 0.7589 1
# total magnetic moment: 0.00 μB per formula unit
# energy above the most stable polymorph in this dataset: 0.392 eV per atom
# crystal system: orthorhombic

=====

9.
# SrZrRe | the Alexandria database | PBE | optimized geometry
data_SrZrRe
_chemical_formula_sum 'Sr4 Zr4 Re4'
_cell_length_a 6.7550
_cell_length_b 6.7550
_cell_length_c 6.7550
_cell_angle_alpha 90.00
_cell_angle_beta 90.00
_cell_angle_gamma 90.00
_space_group_name_H-M_alt 'F -4 3 m'
_space_group_IT_number 216
_space_group_name_Hall 'F -4 2 3'
loop_
_atom_site_label
_atom_site_type_symbol
_atom_site_fract_x
_atom_site_fract_y
_atom_site_fract_z
_atom_site_occupancy
Sr1 Sr 0.0000 0.0000 0.0000 1
Zr1 Zr 0.2500 0.2500 0.2500 1
Re1 Re 0.2500 0.2500 0.7500 1
# total magnetic moment: 0.69 μB per formula unit
# energy above the most stable polymorph in this dataset: 1.740 eV per atom
# crystal system: cubic

=====

10.
# TaRe2 | the Alexandria database | PBE | optimized geometry
data_TaRe2
_chemical_formula_sum 'Ta4 Re8'
_cell_length_a 6.1888
_cell_length_b 6.1888
_cell_length_c 6.1888
_cell_angle_alpha 90.00
_cell_angle_beta 90.00
_cell_angle_gamma 90.00
_space_group_name_H-M_alt 'P a -3'
_space_group_IT_number 205
_space_group_name_Hall '-P 2ac 2ab 3'
loop_
_atom_site_label
_atom_site_type_symbol
_atom_site_fract_x
_atom_site_fract_y
_atom_site_fract_z
_atom_site_occupancy
Ta1 Ta 0.0000 0.0000 0.0000 1
Re1 Re 0.1133 0.6133 0.8867 1
# total magnetic moment: 0.00 μB per formula unit
# total energy: -10.74 eV/atom
# crystal system: cubic